Crystalline ZrTlCd2 at its relaxed geometry. Source: Alexandria via LeMat-Bulk, functional GGA-PBEsol.

- calculated formation energy (eV/atom) = -0.01
- total magnetic moment (μB per formula unit) = 0.000
- energy above the most stable polymorph in this dataset (meV/atom) = 156

Structure (POSCAR):
```
ZrTlCd2
1.0
3.121 0.000 0.000
0.000 4.534 0.000
-1.367 0.000 6.118
Zr Tl Cd
1 1 2
Direct
0.000 0.000 0.000
0.406 0.500 0.789
0.277 0.000 0.492
0.650 0.500 0.280
```